Here is a relaxed structure of BeSiHCl2 from Alexandria. Energies are from PBE.

```
data_BeSiHCl2
_cell_length_a 4.2073
_cell_length_b 4.2073
_cell_length_c 5.1329
_cell_angle_alpha 90.00
_cell_angle_beta 90.00
_cell_angle_gamma 90.00
_symmetry_space_group_name_H-M 'P 4/m m m'
_symmetry_Int_Tables_number 123
_symmetry_space_group_name_Hall '-P 4 2'
loop_
_atom_site_label
_atom_site_type_symbol
_atom_site_fract_x
_atom_site_fract_y
_atom_site_fract_z
Be1 Be 0.0000 0.0000 0.0000
Si1 Si 0.0000 0.0000 0.5000
H1 H 0.5000 0.5000 0.5000
Cl1 Cl 0.0000 0.5000 0.0000
```

Results
Crystal system: tetragonal
Calculated total energy: -2.7491 eV/atom
Fermi-level density of states: 2.7 states/eV per cell